[1]
This record from Alexandria describes crystalline K3LiCe2O6 at its relaxed geometry. The functional is PBE.

Geometry as POSCAR:
```
K3LiCe2O6
1.0
-4.125 4.237 1.535
0.796 -4.938 3.508
5.403 3.248 1.627
K Li Ce O
3 1 2 6
Cartesian
2.731 -1.885 4.014
-0.656 4.431 2.656
1.037 1.273 3.335
0.000 0.000 0.000
-0.843 -1.882 2.851
-2.486 1.181 2.192
0.961 3.757 4.768
-1.344 0.109 3.861
1.114 -1.210 1.901
2.744 0.434 5.483
3.419 2.438 2.809
-0.669 2.113 1.187
```

=====

[2]
This record from Alexandria describes crystalline K2LiCeO4 at its relaxed geometry. The functional is PBE.

Geometry as POSCAR:
```
K2LiCeO4
1.0
-2.578 1.480 -6.381
4.331 -4.443 -3.325
-4.366 -2.387 5.246
K Li Ce O
4 2 2 8
Cartesian
-1.289 0.740 -3.190
-3.472 -0.453 -0.568
-2.183 -1.194 2.623
0.877 -1.481 -4.853
-1.307 -2.675 -2.230
-6.944 -0.907 -1.135
2.165 -2.221 -1.663
-2.596 -1.934 -5.421
-1.504 -5.197 1.417
-3.040 -1.563 -3.143
0.426 -3.787 -1.317
-1.110 -0.152 -5.878
-3.235 -4.406 -2.225
-1.142 -3.226 -4.668
-1.471 -2.124 0.208
0.622 -0.943 -2.236
```

=====

[3]
This record from Alexandria describes crystalline K4LiCe3O8 at its relaxed geometry. The functional is PBE.

Geometry as POSCAR:
```
K4LiCe3O8
1.0
-3.511 -6.088 1.190
5.277 -2.099 4.831
-3.261 6.253 1.023
K Li Ce O
4 1 3 8
Cartesian
-1.756 -3.044 0.595
-3.386 0.083 1.106
0.000 0.000 0.000
-1.631 3.127 0.511
2.638 -1.050 2.416
0.883 -4.094 3.010
-0.748 -0.967 3.522
1.008 2.077 2.927
-0.309 3.009 4.567
-1.082 1.082 2.346
1.208 0.102 4.089
-1.940 0.181 5.119
0.444 -2.114 1.924
-2.704 -2.036 2.954
-0.414 -3.016 4.697
-1.187 -4.943 2.477
```

=====

| no. | formation energy (no corrections) (meV/atom) |
| --- | --- |
| 1 | -2464 |
| 2 | -2009 |
| 3 | -2505 |